! K3RbPt (meta-GGA SCAN, PBEsol geometry); values from VASP
&SYSTEM
  ibrav = 0, nat = 5, ntyp = 3
/
ATOMIC_SPECIES
K 39.10 K.upf
Rb 85.47 Rb.upf
Pt 195.08 Pt.upf
ATOMIC_POSITIONS crystal
K 0.0000 0.0000 0.5000
K 0.0000 0.5000 0.0000
K 0.5000 0.0000 0.0000
Rb 0.5000 0.5000 0.5000
Pt 0.0000 0.0000 0.0000
CELL_PARAMETERS angstrom
6.2969 0.0000 0.0000
0.0000 6.2969 0.0000
0.0000 0.0000 6.2969
! **DFT formation energy**: 35 meV per atom
! **DOS at the Fermi energy**: 1.194 states/eV/f.u.
! **Total magnetization**: 0.0 Bohr magnetons per cell